SrZn2CdRh | GGA-PBE | relaxed

Output
DFT formation energy: -0.249 eV per atom
DOS(E_F): 2.29 states/eV/f.u.
VASP energy: -2.748 eV per atom
space group: P4/mmm

Cell lengths 4.8640, 4.8640, 5.1808 Å; angles 90.00, 90.00, 90.00 degrees
Element x y z (fractional)
Sr  0.5000  0.5000  0.5000
Zn  0.0000  0.5000  0.0000
Zn  0.5000  0.0000  0.0000
Rh  0.0000  0.0000  0.0000
Cd  0.0000  0.0000  0.5000